Computed, not measured: a relaxed structure of FeSn3 at the GGA-PBE level of DFT.

Computed properties:
* E: -4.646 eV/atom
* mass density: 7.4 Mg/m³
* volume: 185.15 Å³/cell

Cell: 6.4804 6.4804 5.0908 Å, 90.00 90.00 120.00°
Space group P6_3/mmc (No. 194)
Symmetry-distinct sites (fractional):
Fe1 0.3333 0.6667 0.2500 (multiplicity 2)
Sn1 0.1754 0.3507 0.7500 (multiplicity 6)



Computed, not measured: a relaxed structure of Gd2Se2O7 at the GGA-PBE level of DFT.

Computed properties:
* E: -6.771 eV/atom
* mass density: 6.6 Mg/m³
* volume: 590.85 Å³/cell

Cell: 10.629 10.629 5.230 Å, 90.00 90.00 90.00°
Space group P4_2/ncm (No. 138, origin choice 2)
Symmetry-distinct sites (fractional):
Gd1 0.127 0.627 0.000 (multiplicity 8)
Se1 0.130 0.130 0.035 (multiplicity 8)
O1 0.002 0.681 0.629 (multiplicity 16)
O2 0.066 0.066 0.311 (multiplicity 8)
O3 0.250 0.750 0.250 (multiplicity 4)



Computed, not measured: a relaxed structure of HfCoNiBi at the GGA-PBE level of DFT.

Computed properties:
* E: -6.382 eV/atom
* mass density: 12.2 Mg/m³
* volume: 274.94 Å³/cell

Cell: 6.502 6.502 6.502 Å, 90.00 90.00 90.00°
Space group F-43m (No. 216)
Symmetry-distinct sites (fractional):
Hf1 0.000 0.000 0.000 (multiplicity 4)
Co1 0.250 0.250 0.750 (multiplicity 4)
Ni1 0.000 0.000 0.500 (multiplicity 4)
Bi1 0.250 0.250 0.250 (multiplicity 4)



Computed, not measured: a relaxed structure of AlCuI2Br2 at the GGA-PBE level of DFT.

Computed properties:
* E: -2.987 eV/atom
* mass density: 3.9 Mg/m³
* volume: 213.86 Å³/cell

Cell: 6.294 6.306 6.853 Å, 116.21 115.54 90.10°
Space group P1 (No. 1)
Symmetry-distinct sites (fractional):
Al1 0.000 0.000 0.000 (multiplicity 1)
Cu1 0.245 0.766 0.500 (multiplicity 1)
I1 0.356 0.375 0.254 (multiplicity 1)
I2 0.631 0.114 0.743 (multiplicity 1)
Br1 0.105 0.671 0.751 (multiplicity 1)
Br2 0.908 0.902 0.252 (multiplicity 1)



Number 2 is which compound?
Gd2Se2O7



Which value of E does entry 4 give?
-2.987 eV/atom



Please write out number 4 again, unchanged.
Computed, not measured: a relaxed structure of AlCuI2Br2 at the GGA-PBE level of DFT.

Computed properties:
* E: -2.987 eV/atom
* mass density: 3.9 Mg/m³
* volume: 213.86 Å³/cell

Cell: 6.294 6.306 6.853 Å, 116.21 115.54 90.10°
Space group P1 (No. 1)
Symmetry-distinct sites (fractional):
Al1 0.000 0.000 0.000 (multiplicity 1)
Cu1 0.245 0.766 0.500 (multiplicity 1)
I1 0.356 0.375 0.254 (multiplicity 1)
I2 0.631 0.114 0.743 (multiplicity 1)
Br1 0.105 0.671 0.751 (multiplicity 1)
Br2 0.908 0.902 0.252 (multiplicity 1)